Run A
4
Lattice="-0.3652 3.7508 -2.1796 0.9414 -2.0666 -3.7142 -4.6469 -0.8591 -0.6998" Properties=species:S:1:pos:R:3 comment="LaSc2Mn, PBEsol geometry, DFT SCAN" total_magnetization_mub_per_fu=2.276 pbc="T T T"
Mn -2.3235 -0.4295 -0.3499
Sc 0.4707 -1.0333 -1.8571
Sc -0.1826 1.8754 -1.0898
La -2.0354 0.4126 -3.2968

***

Run B
4
Lattice="-3.3049 -0.1592 -0.2836 -0.3769 -0.9251 4.9114 1.5010 5.8613 -1.3381" Properties=species:S:1:pos:R:3 comment="LaSc2Mn, PBEsol geometry, DFT SCAN" total_magnetization_mub_per_fu=2.667 pbc="T T T"
Sc -0.1990 3.1142 0.5713
Sc -1.9818 1.6628 2.7184
Mn -0.1885 -0.4625 2.4557
La -1.6524 -0.0796 -0.1418

***

Preferred: run B; penalty for the next structure: 10 meV/atom.

***

Run A
4
Lattice="-0.4598 2.7560 -2.8274 2.5641 -1.9561 -2.3237 -4.3739 -2.7151 0.8591" Properties=species:S:1:pos:R:3 comment="Sc2AgIr, PBEsol geometry, DFT SCAN" total_magnetization_mub_per_fu=0.000 pbc="T T T"
Ir -0.3788 -2.1356 -2.0201
Sc 0.0000 0.0000 0.0000
Sc -1.8907 0.2204 -2.2719
Ag 1.0522 0.3999 -2.5755

***

Run B
4
Lattice="3.1343 0.0000 0.0000 0.0000 4.1656 0.0000 0.0000 0.0000 5.6183" Properties=species:S:1:pos:R:3 comment="Sc2AgIr, PBEsol geometry, DFT SCAN" total_magnetization_mub_per_fu=0.000 pbc="T T T"
Ag 0.0000 0.0000 2.6346
Sc 1.5671 2.0828 1.5813
Sc 0.0000 0.0000 5.2880
Ir 1.5671 2.0828 4.5419

***

Preferred: run A; penalty for the next structure: 77 meV/atom.

***

Run A
80
Lattice="-2.2718 -5.4539 0.6465 5.0569 -3.0713 -8.1401 11.0075 -3.6128 8.2013" Properties=species:S:1:pos:R:3 comment="LiCu4P3O12, PBEsol geometry, DFT SCAN" total_magnetization_mub_per_fu=3.998 pbc="T T T"
Cu 2.8546 -2.4561 -2.7874
Cu 10.4079 -6.9477 -2.6205
Cu 8.1523 -8.7619 6.4794
Cu 14.0066 -8.1289 0.0608
Cu 6.4533 -3.6372 -0.1061
Cu 3.3847 -5.1903 3.3283
Cu 6.0726 -6.3412 -1.9462
Cu 7.3393 -8.5008 0.8139
Cu 3.5133 -5.5012 -3.8530
Cu -0.2140 -4.0092 0.6470
Cu 7.7200 -5.7969 2.6539
Cu 8.1995 -4.2161 -3.8648
Cu 10.9380 -9.6820 3.4951
Cu 5.6403 -3.3762 -5.7716
Cu 10.2793 -6.6369 4.5608
Cu 5.5931 -7.9219 4.5726
O -0.7590 -5.7236 1.3007
O 6.7487 -4.7864 -5.0247
O 11.5600 -5.4326 -2.8219
O 12.4225 -7.0553 1.1760
O 11.3899 -9.8450 1.3330
O 11.8259 -4.3834 6.4511
O 5.3867 -7.6061 0.5359
O 12.8638 -5.9952 3.4934
O 2.2326 -6.7055 3.5296
O 1.7675 -4.0098 2.0031
O 11.1459 -7.3872 6.0407
O 8.8550 -9.6198 2.3025
O 1.3701 -5.0828 -0.4683
O 4.2366 -6.6774 -2.4861
O 8.8720 -9.1100 4.7315
O 4.9376 -2.5183 -1.5948
O 2.6467 -4.7508 -5.3329
O 4.6849 -6.3018 -5.1494
O 9.1209 -9.1003 -0.3576
O -0.0249 -2.1468 0.2547
O 2.4027 -2.2930 -0.6252
O 7.1906 -9.4692 -1.8512
O 13.8175 -9.9912 0.4531
O 6.6807 -6.9568 -3.6624
O 6.9165 -3.6831 -2.5367
O 2.5904 -4.3410 -2.5857
O 7.8706 -6.4654 -1.4407
O 8.4059 -4.5320 0.1719
O 11.2022 -7.7971 3.2935
O 0.9288 -6.1429 -2.7856
O 4.6717 -3.0378 1.0654
O 12.0251 -8.1283 -1.2953
O 8.2106 -6.8152 1.0645
O 5.9220 -5.6727 2.1485
O 9.3595 -8.5281 -2.8684
O 7.0439 -7.3517 5.7325
O 4.4331 -3.6100 3.5762
O 10.1535 -6.3106 -0.5145
O 6.6020 -2.6689 2.5589
O 14.5516 -6.4145 -0.5929
O 9.5560 -5.4606 3.1938
O 6.8761 -8.4549 3.2444
O 5.5820 -5.3229 -0.3567
O 4.9206 -3.0281 -4.0237
O 9.1077 -5.8363 5.8572
O 1.9667 -7.7546 -5.7433
O 3.6391 -5.8275 1.2223
O 7.1119 -5.1812 4.3702
Li 10.8669 -8.1523 0.2486
Li 1.9913 -6.8351 0.4580
Li 2.9257 -3.9858 0.4592
Li 11.8013 -5.3029 0.2497
P 1.2107 -4.8437 -1.9731
P 3.5488 -8.0842 -2.1826
P 1.1737 -1.4043 -0.4084
P 12.6189 -10.7338 1.1161
P 10.2438 -4.0538 2.8904
P 5.1144 -6.1249 0.9354
P 6.2235 -6.2919 -4.9829
P 8.7152 -9.4525 -1.7923
P 8.6782 -6.0132 -0.2276
P 12.5819 -7.2944 2.6809
P 7.5691 -5.8462 5.6907
P 5.0774 -2.6855 2.5001

***

Run B
40
Lattice="-3.2983 6.0295 -2.0917 -5.2485 -6.5958 -0.4901 0.0942 -0.5811 8.4229" Properties=species:S:1:pos:R:3 comment="LiCu4P3O12, PBEsol geometry, DFT SCAN" total_magnetization_mub_per_fu=2.022 pbc="T T T"
O -5.1919 0.7800 0.4417
O -2.1262 -0.6401 3.8506
O -4.9508 -3.0668 3.3029
O -1.1803 -0.5991 1.1945
O -2.8841 2.3541 0.0575
O -2.7772 4.2159 1.7775
O -2.0882 3.2196 4.5846
O -3.5018 1.9194 2.5382
O -4.0762 -3.8898 -0.4372
O -3.2607 -1.9274 5.3994
O -6.3644 -4.3669 1.2564
O -5.3705 -0.1488 6.2774
O -7.5118 0.0785 -0.2957
O -5.6753 -5.3633 4.0636
O -4.3763 2.7424 6.2782
O -6.3263 -0.5073 1.9904
O -5.7251 -1.7406 -0.1393
O -7.2722 -0.5483 4.6465
O -0.9407 -1.2259 6.1368
O -5.5685 -3.5015 5.7835
O -3.0821 -0.9986 -0.4363
O -2.9984 -2.3852 1.6726
O -2.7275 0.5932 5.9803
O -5.4541 1.2378 4.1685
P -2.1268 -1.6443 0.5735
P -5.8731 -3.8647 4.3176
P -2.2020 -0.7304 5.4449
P -6.3258 0.4969 5.2676
P -6.2506 -0.4170 0.3961
P -2.5795 2.7173 1.5235
Cu -3.3587 -2.0326 3.5153
Cu -7.6948 -1.4184 2.9369
Cu -5.0939 0.8852 2.3258
Cu -4.3063 -2.4751 6.8844
Cu -3.8105 2.3300 4.4668
Cu -4.1463 1.3277 -1.0434
Cu -0.7578 0.2710 2.9042
Cu -4.6421 -3.4774 1.3743
Li -5.9685 -4.9707 -0.8385
Li -2.4841 3.8233 6.6796

***

Preferred: run A; penalty for the next structure: 18 meV/atom.

***

Run A
4
Lattice="5.4641 0.0000 0.0000 2.7320 4.7320 0.0000 2.7320 1.5773 4.4614" Properties=species:S:1:pos:R:3 comment="Ba2AuCl, PBEsol geometry, DFT SCAN" total_magnetization_mub_per_fu=0.000 pbc="T T T"
Au 5.4641 3.1547 2.2307
Ba 8.1961 4.7320 3.3461
Ba 0.0000 0.0000 0.0000
Cl 2.7320 1.5773 1.1154

***

Run B
4
Lattice="4.5199 0.0000 0.0000 2.2600 3.9144 0.0000 2.2600 1.3048 8.0086" Properties=species:S:1:pos:R:3 comment="Ba2AuCl, PBEsol geometry, DFT SCAN" total_magnetization_mub_per_fu=0.000 pbc="T T T"
Cl 0.0000 0.0000 0.0000
Ba 6.7799 3.9144 5.8703
Ba 2.2600 1.3048 2.1383
Au 4.5199 2.6096 4.0043

***

Preferred: run B; penalty for the next structure: 793 meV/atom.